A plane-wave DFT calculation with PBE was carried out for an optimized crystal structure of Rb2SrY.

Values from the calculation:
- V: 56.94 Å³ per atom
- Total moment: 0.22 μB/atom
- DOS(E_F): 1.70 states/eV/atom
- Final energy: -1.90 eV/atom

Structure (CIF):
```
data_Rb2SrY
_symmetry_space_group_name_H-M 'F m -3 m'
_symmetry_Int_Tables_number 225
_symmetry_space_group_name_Hall '-F 4 2 3'
_cell_length_a 9.694
_cell_length_b 9.694
_cell_length_c 9.694
_cell_angle_alpha 90.00
_cell_angle_beta 90.00
_cell_angle_gamma 90.00
loop_
_atom_site_label
_atom_site_type_symbol
_atom_site_fract_x
_atom_site_fract_y
_atom_site_fract_z
_atom_site_occupancy
Rb1 Rb 0.250 0.250 0.250 1
Sr1 Sr 0.000 0.000 0.000 1
Y1 Y 0.000 0.000 0.500 1
```

***

A plane-wave DFT calculation with PBE was carried out for an optimized crystal structure of Ca4PtRh.

Values from the calculation:
- V: 24.67 Å³ per atom
- Total moment: 0.00 μB/atom
- DOS(E_F): 0.89 states/eV/atom
- Final energy: -3.04 eV/atom

Structure (CIF):
```
data_Ca4PtRh
_symmetry_space_group_name_H-M 'F -4 3 m'
_symmetry_Int_Tables_number 216
_symmetry_space_group_name_Hall 'F -4 2 3'
_cell_length_a 8.397
_cell_length_b 8.397
_cell_length_c 8.397
_cell_angle_alpha 90.00
_cell_angle_beta 90.00
_cell_angle_gamma 90.00
loop_
_atom_site_label
_atom_site_type_symbol
_atom_site_fract_x
_atom_site_fract_y
_atom_site_fract_z
_atom_site_occupancy
Ca1 Ca 0.125 0.125 0.125 1
Pt1 Pt 0.250 0.250 0.750 1
Rh1 Rh 0.000 0.000 0.500 1
```

***

A plane-wave DFT calculation with PBE was carried out for an optimized crystal structure of Dy5AgS8.

Values from the calculation:
- V: 26.12 Å³ per atom
- Formation energy (no corrections): -1.830 eV per atom
- Total moment: 0.00 μB/atom
- DOS(E_F): 0.00 states/eV/atom
- Final energy: -6.04 eV/atom

Structure (CIF):
```
data_Dy5AgS8
_symmetry_space_group_name_H-M 'F -4 3 m'
_symmetry_Int_Tables_number 216
_symmetry_space_group_name_Hall 'F -4 2 3'
_cell_length_a 11.351
_cell_length_b 11.351
_cell_length_c 11.351
_cell_angle_alpha 90.00
_cell_angle_beta 90.00
_cell_angle_gamma 90.00
loop_
_atom_site_label
_atom_site_type_symbol
_atom_site_fract_x
_atom_site_fract_y
_atom_site_fract_z
_atom_site_occupancy
Dy1 Dy 0.000 0.000 0.000 1
Dy2 Dy 0.121 0.121 0.621 1
Ag1 Ag 0.250 0.250 0.250 1
S1 S 0.117 0.117 0.383 1
S2 S 0.133 0.133 0.867 1
```

***

A plane-wave DFT calculation with PBE was carried out for an optimized crystal structure of Li4BrCl3.

Values from the calculation:
- V: 18.12 Å³ per atom
- Formation energy (no corrections): -1.724 eV per atom
- Total moment: 0.00 μB/atom
- DOS(E_F): 0.00 states/eV/atom
- Final energy: -3.58 eV/atom

Structure (CIF):
```
data_Li4BrCl3
_symmetry_space_group_name_H-M 'P m -3 m'
_symmetry_Int_Tables_number 221
_symmetry_space_group_name_Hall '-P 4 2 3'
_cell_length_a 5.254
_cell_length_b 5.254
_cell_length_c 5.254
_cell_angle_alpha 90.00
_cell_angle_beta 90.00
_cell_angle_gamma 90.00
loop_
_atom_site_label
_atom_site_type_symbol
_atom_site_fract_x
_atom_site_fract_y
_atom_site_fract_z
_atom_site_occupancy
Li1 Li 0.000 0.000 0.000 1
Li2 Li 0.000 0.500 0.500 1
Br1 Br 0.500 0.500 0.500 1
Cl1 Cl 0.000 0.000 0.500 1
```